Crystalline YEr6In5 at its relaxed geometry. Source: Alexandria, functional PBE.

Lattice parameters (Å, degrees): 4.931 8.778 8.999 119.19 105.90 90.00
Fractional positions:
Er (0.500, 0.274, 0.000)
Er (0.170, 0.906, 0.340)
Er (0.170, 0.434, 0.340)
Er (0.500, 0.726, 0.000)
Er (0.830, 0.094, 0.660)
Er (0.830, 0.566, 0.660)
In (0.349, 0.849, 0.698)
In (0.678, 0.678, 0.356)
In (0.000, 0.500, 0.000)
In (0.322, 0.322, 0.644)
In (0.651, 0.151, 0.302)
Y (0.000, 0.000, 0.000)

Crystal system: orthorhombic
E_form, kJ/mol of atoms: -35.99
Space-group type: Immm, No. 71
Density of states at the Fermi level, states/eV/atom: 0.98
Volume, Å³/f.u.: 323